(1)
First-principles (PBE-GGA) data for a relaxed Rb2BaAs crystal, as listed in Alexandria via LeMat-Bulk.

Properties
For the energy of formation from the pure elements, the calculation gives 5 kJ/mol of atoms. Its magnetization is 0.00 Bohr magnetons per cell. The crystal system is cubic. The calculation puts the calculated total energy at -8.29 eV per formula unit. The energy relative to the lowest polymorph listed for this composition is 0.175 eV per atom.

Cell and atoms, written as CIF:
```
data_Rb2BaAs
_chemical_formula_sum 'Rb8 Ba4 As4'
_cell_length_a 8.667
_cell_length_b 8.667
_cell_length_c 8.667
_cell_angle_alpha 90.00
_cell_angle_beta 90.00
_cell_angle_gamma 90.00
_space_group_name_H-M_alt 'F m -3 m'
_space_group_IT_number 225
_space_group_name_Hall '-F 4 2 3'
loop_
_atom_site_label
_atom_site_fract_x
_atom_site_fract_y
_atom_site_fract_z
Rb1 0.250 0.250 0.250
Ba1 0.000 0.000 0.000
As1 0.000 0.000 0.500
```

***

(2)
First-principles (PBE-GGA) data for a relaxed SbOsRu2 crystal, as listed in Alexandria via LeMat-Bulk.

Properties
Its magnetization is 0.00 Bohr magnetons per cell. The uncorrected formation energy comes out at 0.33 eV per atom. The crystal system is orthorhombic. The calculation puts the calculated total energy at -32.60 eV per formula unit.

Cell and atoms, written as CIF:
```
data_SbOsRu2
_chemical_formula_sum 'Sb1 Os1 Ru2'
_cell_length_a 2.892
_cell_length_b 3.816
_cell_length_c 5.685
_cell_angle_alpha 90.00
_cell_angle_beta 90.00
_cell_angle_gamma 90.00
_space_group_name_H-M_alt 'P m m m'
_space_group_IT_number 47
_space_group_name_Hall '-P 2 2'
loop_
_atom_site_label
_atom_site_fract_x
_atom_site_fract_y
_atom_site_fract_z
Sb1 0.000 0.000 0.000
Os1 0.000 0.000 0.500
Ru1 0.500 0.500 0.268
```